(1)
PuScAgSn: optimized geometry, PBE.

As for the energy of formation: -0.276 eV per atom. For the density of states at the Fermi level, the calculation gives 8.802 states/eV/cell. Its space group is F-43m (216). Its calculated total energy is -7.155 eV/atom.

Unit cell a=5.1339 b=5.1339 c=5.1339 alpha=60.00 beta=60.00 gamma=60.00
Last column: nearest neighbours and their distance in Å.
Fractional positions:
Sc  0.5000  0.5000  0.5000  4 Sn 3.14, 4 Ag 3.14
Sn  0.2500  0.2500  0.2500  4 Sc 3.14, 4 Pu 3.14
Ag  0.7500  0.7500  0.7500  4 Sc 3.14, 4 Pu 3.14
Pu  0.0000  0.0000  0.0000  4 Ag 3.14, 4 Sn 3.14



(2)
K2TaCuSe5: optimized geometry, PBE.

For the density of states at the Fermi level, the calculation gives 5.625 states/eV/cell. The uncorrected formation energy comes out at -0.6748 eV/atom. Its space group is Cmc2_1 (36). Its calculated total energy is -4.627 eV/atom.

Unit cell a=3.6293 b=10.8237 c=13.5809 alpha=90.00 beta=90.00 gamma=99.65
Last column: nearest neighbours and their distance in Å.
Fractional positions:
K  0.8791  0.7582  0.8050  8 Se 3.32-3.61, 2 K 3.63
K  0.1234  0.2467  0.7126  7 Se 3.30-3.58, 2 K 3.63
K  0.1209  0.2418  0.3050  8 Se 3.32-3.61, 2 K 3.63
K  0.8766  0.7533  0.2126  7 Se 3.30-3.58, 2 K 3.63
Ta  0.7628  0.5257  0.4987  5 Se 2.40-2.62
Ta  0.2372  0.4743  0.9987  5 Se 2.40-2.62
Cu  0.5686  0.1372  0.9477  3 Se 2.28-2.36
Cu  0.4314  0.8628  0.4477  3 Se 2.28-2.36
Se  0.3491  0.6983  0.0121  1 Ta 2.40
Se  0.7200  0.4400  0.8661  2 Ta 2.58
Se  0.5097  0.0193  0.8080  1 Cu 2.28
Se  0.2837  0.5673  0.6340  2 Ta 2.62
Se  0.8924  0.7848  0.5397  2 Cu 2.36
Se  0.6509  0.3017  0.5121  1 Ta 2.40
Se  0.2800  0.5600  0.3661  2 Ta 2.58
Se  0.4904  0.9807  0.3080  1 Cu 2.28
Se  0.7163  0.4327  0.1340  2 Ta 2.62
Se  0.1076  0.2152  0.0397  2 Cu 2.36



(3)
Li3Ag5Pd3: optimized geometry, PBE.

As for the energy of formation: 0.049 eV per atom. For the density of states at the Fermi level, the calculation gives 2.564 states/eV/cell. Its space group is P-62m (189). Its calculated total energy is -3.186 eV/atom.

Unit cell a=2.7673 b=8.7882 c=8.7882 alpha=120.00 beta=90.00 gamma=90.00
Last column: nearest neighbours and their distance in Å.
Fractional positions:
Li  0.5000  0.8280  0.0000  2 Pd 2.43, 2 Ag 2.50, 2 Li 2.62
Li  0.5000  0.1720  0.1720  2 Pd 2.43, 2 Ag 2.50, 2 Li 2.62
Li  0.5000  0.0000  0.8280  2 Pd 2.43, 2 Ag 2.50, 2 Li 2.62
Ag  0.5000  0.6667  0.3333  5 Ag 2.77-2.95, 6 Pd 3.02
Ag  0.5000  0.3333  0.6667  5 Ag 2.77-2.95, 6 Pd 3.02
Ag  0.5000  0.3282  0.0000  2 Li 2.50, 2 Ag 2.77, 2 Pd 2.77
Ag  0.5000  0.6718  0.6718  2 Li 2.50, 2 Ag 2.77, 2 Pd 2.77
Ag  0.5000  0.0000  0.3282  2 Li 2.50, 2 Ag 2.77, 2 Pd 2.77
Pd  0.0000  0.6013  0.0000  2 Li 2.43
Pd  0.0000  0.0000  0.6013  2 Li 2.43
Pd  0.0000  0.3987  0.3987  2 Li 2.43



(4)
NbCoHPd2: optimized geometry, PBE.

For the density of states at the Fermi level, the calculation gives 4.823 states/eV/cell. Its space group is P4/mmm (123). Its calculated total energy is -6.224 eV/atom.

Unit cell a=3.8863 b=3.8863 c=4.0405 alpha=90.00 beta=90.00 gamma=90.00
Last column: nearest neighbours and their distance in Å.
Fractional positions:
H  0.0000  0.0000  0.0000  4 Pd 1.94, 2 Co 2.02
Nb  0.5000  0.5000  0.5000  4 Co 2.75, 8 Pd 2.80
Co  0.0000  0.0000  0.5000  2 H 2.02
Pd  0.0000  0.5000  0.0000  2 H 1.94
Pd  0.5000  0.0000  0.0000  2 H 1.94



(5)
Zr2CdRe2: optimized geometry, PBE.

As for the energy of formation: 0.126 eV per atom. For the density of states at the Fermi level, the calculation gives 3.783 states/eV/cell. Its space group is P4/mbm (127). Its calculated total energy is -8.455 eV/atom.

Unit cell a=7.8018 b=7.8018 c=3.2955 alpha=90.00 beta=90.00 gamma=90.00
Last column: nearest neighbours and their distance in Å.
Fractional positions:
Re  0.3945  0.8945  0.0000  1 Re 2.33
Re  0.8945  0.6055  0.0000  1 Re 2.33
Re  0.6055  0.1055  0.0000  1 Re 2.33
Re  0.1055  0.3945  0.0000  1 Re 2.33
Zr  0.1914  0.6914  0.5000  6 Re 2.78-2.92
Zr  0.6914  0.8086  0.5000  6 Re 2.78-2.92
Zr  0.8086  0.3086  0.5000  6 Re 2.78-2.92
Zr  0.3086  0.1914  0.5000  6 Re 2.78-2.92
Cd  0.0000  0.0000  0.0000  4 Re 3.19, 8 Zr 3.28, 2 Cd 3.30
Cd  0.5000  0.5000  0.0000  4 Re 3.19, 8 Zr 3.28, 2 Cd 3.30



(6)
Li2SiPb: optimized geometry, PBE.

For the density of states at the Fermi level, the calculation gives 1.061 states/eV/cell. The calculation puts the offset from the most stable computed form at 70 meV per atom. The uncorrected formation energy comes out at -0.0131 eV/atom. Its space group is Pmm2 (25). Its calculated total energy is -3.253 eV/atom.

Unit cell a=3.5841 b=3.8523 c=5.6305 alpha=90.00 beta=90.00 gamma=90.00
Last column: nearest neighbours and their distance in Å.
Fractional positions:
Li  0.0000  0.0000  0.9887  2 Pb 2.72-2.91, 4 Si 2.93, 4 Li 3.00
Li  0.5000  0.5000  0.2463  2 Si 2.74-2.89, 4 Li 3.00, 4 Pb 3.01
Pb  0.0000  0.0000  0.5055  6 Li 2.72-3.01, 4 Si 2.99
Si  0.5000  0.5000  0.7596  6 Li 2.74-2.93, 4 Pb 2.99



(7)
BeSiPt2: optimized geometry, PBE.

For the density of states at the Fermi level, the calculation gives 2.790 states/eV/cell. The uncorrected formation energy comes out at -0.2396 eV/atom. Its space group is I-42d (122). Its calculated total energy is -5.547 eV/atom.

Unit cell a=5.0307 b=5.0307 c=6.6102 alpha=67.63 beta=67.63 gamma=90.00
Last column: nearest neighbours and their distance in Å.
Fractional positions:
Be  0.5000  0.5000  0.0000  4 Pt 2.19
Be  0.2500  0.7500  0.5000  4 Pt 2.19
Si  0.0000  0.0000  0.0000  4 Pt 2.34
Si  0.7500  0.2500  0.5000  4 Pt 2.34
Pt  0.5981  0.1250  0.2500  2 Be 2.19, 2 Si 2.34
Pt  0.1519  0.6250  0.2500  2 Be 2.19, 2 Si 2.34
Pt  0.3750  0.4019  0.7500  2 Be 2.19, 2 Si 2.34
Pt  0.8750  0.8481  0.7500  2 Be 2.19, 2 Si 2.34



(8)
Be10NbW: optimized geometry, PBE.

As for the energy of formation: -0.156 eV per atom. For the density of states at the Fermi level, the calculation gives 3.271 states/eV/cell. Its space group is Pmmm (47). Its calculated total energy is -5.180 eV/atom.

Unit cell a=3.3622 b=4.3687 c=7.5695 alpha=90.00 beta=90.00 gamma=90.00
Last column: nearest neighbours and their distance in Å.
Fractional positions:
Be  0.0000  0.0000  0.3287  6 Be 2.10-2.12
Be  0.0000  0.5000  0.8409  6 Be 2.07-2.11
Be  0.0000  0.5000  0.1591  6 Be 2.07-2.11
Be  0.0000  0.0000  0.6713  6 Be 2.10-2.12
Be  0.5000  0.0000  0.5000  8 Be 2.12-2.22
Be  0.5000  0.5000  0.0000  8 Be 2.07-2.15
Be  0.5000  0.2471  0.2442  8 Be 2.10-2.22
Be  0.5000  0.7529  0.7558  8 Be 2.10-2.22
Be  0.5000  0.7529  0.2442  8 Be 2.10-2.22
Be  0.5000  0.2471  0.7558  8 Be 2.10-2.22
Nb  0.0000  0.5000  0.5000  18 Be 2.54-2.79
W  0.0000  0.0000  0.0000  18 Be 2.49-2.76



(9)
La3SbTe: optimized geometry, PBE.

For the density of states at the Fermi level, the calculation gives 9.856 states/eV/cell. The calculation puts the offset from the most stable computed form at 433 meV per atom. The uncorrected formation energy comes out at -0.4037 eV/atom. Its space group is Pm-3m (221). Its calculated total energy is -4.813 eV/atom.

Unit cell a=5.9011 b=5.9011 c=5.9011 alpha=90.00 beta=90.00 gamma=90.00
Last column: nearest neighbours and their distance in Å.
Fractional positions:
Sb  0.5000  0.5000  0.5000  12 La 4.17
Te  0.0000  0.0000  0.0000  6 La 2.95
La  0.0000  0.5000  0.0000  2 Te 2.95
La  0.0000  0.0000  0.5000  2 Te 2.95
La  0.5000  0.0000  0.0000  2 Te 2.95



(10)
Sr3Al4Ag2: optimized geometry, PBE.

As for the energy of formation: -0.226 eV per atom. For the density of states at the Fermi level, the calculation gives 4.764 states/eV/cell. Its space group is C2/m (12). Its calculated total energy is -3.084 eV/atom.

Unit cell a=4.4059 b=6.3229 c=10.0389 alpha=109.65 beta=90.00 gamma=110.39
Last column: nearest neighbours and their distance in Å.
Fractional positions:
Sr  0.5984  0.1968  0.6936  3 Ag 3.34-3.41, 8 Al 3.40-3.66
Sr  0.0000  0.0000  0.0000  6 Al 3.39-3.45, 4 Ag 3.66
Sr  0.4016  0.8032  0.3064  3 Ag 3.34-3.41, 8 Al 3.40-3.66
Al  0.7293  0.4585  0.0552  2 Al 2.59, 1 Ag 2.64
Al  0.2707  0.5415  0.9448  2 Al 2.59, 1 Ag 2.64
Al  0.8377  0.6754  0.5622  3 Ag 2.70, 2 Al 2.98
Al  0.1623  0.3246  0.4378  3 Ag 2.70, 2 Al 2.98
Ag  0.6780  0.3561  0.2906  4 Al 2.64-2.70
Ag  0.3220  0.6439  0.7094  4 Al 2.64-2.70